(1)
## BaPb4 (PBE-GGA)

Data for crystalline BaPb4 at its relaxed geometry.

Values from the calculation:
The final energy is -2.544 eV/atom. The space group is Pm-3m. The energy above the most stable polymorph in this dataset comes out at 1.055 eV/atom. For the total magnetization, the calculation gives 0.0 μB/f.u. The formation energy is 806.9 meV/atom.

a b c (Å): 6.246 6.246 6.246
angles (deg): 90.00 90.00 90.00
Fractional coordinates of all 5 atoms:
1 Pb 0.000 0.000 0.000
2 Pb 0.500 0.000 0.500
3 Pb 0.000 0.500 0.500
4 Pb 0.500 0.500 0.000
5 Ba 0.500 0.500 0.500

=====

(2)
## LaHfMg2Au (PBE-GGA)

Data for crystalline LaHfMg2Au at its relaxed geometry.

Values from the calculation:
The final energy is -4.222 eV/atom. The space group is P4/mmm. For the total magnetization, the calculation gives 0.0 μB/f.u. The formation energy is 47.2 meV/atom.

a b c (Å): 5.036 5.388 5.036
angles (deg): 90.00 90.00 90.00
Fractional coordinates of all 5 atoms:
1 Hf 0.000 0.500 0.000
2 Mg 0.000 0.000 0.500
3 Mg 0.500 0.000 0.000
4 Au 0.000 0.000 0.000
5 La 0.500 0.500 0.500

=====

(3)
## Li2ZrCu (PBE-GGA)

Data for crystalline Li2ZrCu at its relaxed geometry.

Values from the calculation:
The final energy is -3.914 eV/atom. The space group is P4/mmm. The energy above the most stable polymorph in this dataset comes out at 0.145 eV/atom. For the total magnetization, the calculation gives 0.0 μB/f.u. The formation energy is 204.1 meV/atom.

a b c (Å): 4.894 3.769 3.769
angles (deg): 90.00 90.00 90.00
Fractional coordinates of all 4 atoms:
1 Cu 0.500 0.000 0.500
2 Li 0.000 0.000 0.000
3 Li 0.000 0.500 0.500
4 Zr 0.500 0.500 0.000

=====

(4)
## CaFeMo2 (PBE-GGA)

Data for crystalline CaFeMo2 at its relaxed geometry.

Values from the calculation:
The final energy is -7.093 eV/atom. The space group is Fm-3m. The energy above the most stable polymorph in this dataset comes out at 0.419 eV/atom. For the total magnetization, the calculation gives 0.0 μB/f.u. The formation energy is 938.1 meV/atom.

a b c (Å): 4.466 4.466 4.466
angles (deg): 60.00 60.00 60.00
Fractional coordinates of all 4 atoms:
1 Mo 0.250 0.250 0.250
2 Mo 0.750 0.750 0.750
3 Ca 0.000 0.000 0.000
4 Fe 0.500 0.500 0.500

=====

(5)
## Cr2Pt (PBE-GGA)

Data for crystalline Cr2Pt at its relaxed geometry.

Values from the calculation:
The final energy is -8.380 eV/atom. The space group is Cmcm. For the total magnetization, the calculation gives 0.0 μB/f.u. The formation energy is 48.7 meV/atom.

a b c (Å): 6.631 6.631 4.389
angles (deg): 90.00 90.00 155.53
Fractional coordinates of all 6 atoms:
1 Cr 0.410 0.590 0.250
2 Cr 0.590 0.410 0.750
3 Cr 0.954 0.046 0.750
4 Cr 0.046 0.954 0.250
5 Pt 0.719 0.281 0.250
6 Pt 0.281 0.719 0.750

=====

(6)
## K3Tl4Ag2 (PBE-GGA)

Data for crystalline K3Tl4Ag2 at its relaxed geometry.

Values from the calculation:
The final energy is -2.081 eV/atom. The space group is P-1. For the total magnetization, the calculation gives 0.0 μB/f.u. The formation energy is -29.9 meV/atom.

a b c (Å): 5.240 7.028 9.785
angles (deg): 70.53 73.88 68.35
Fractional coordinates of all 9 atoms:
1 K 0.591 0.168 0.644
2 K 0.000 0.000 0.000
3 K 0.409 0.832 0.356
4 Tl 0.312 0.333 0.043
5 Tl 0.876 0.605 0.634
6 Tl 0.124 0.395 0.366
7 Tl 0.688 0.667 0.957
8 Ag 0.717 0.332 0.243
9 Ag 0.283 0.668 0.757

=====

(7)
## KSr2InCl6 (PBE-GGA)

Data for crystalline KSr2InCl6 at its relaxed geometry.

Values from the calculation:
The final energy is -3.863 eV/atom. As for the formation energy (no corrections): -2.04 eV per atom. The space group is R3. For the total magnetization, the calculation gives 0.0 μB/f.u.

a b c (Å): 7.767 7.767 7.982
angles (deg): 60.88 60.89 59.99
Fractional coordinates of all 10 atoms:
1 K 0.302 0.302 0.094
2 Sr 0.516 0.516 0.453
3 Sr 0.015 0.015 0.954
4 In 0.803 0.803 0.591
5 Cl 0.654 0.232 0.239
6 Cl 0.231 0.875 0.239
7 Cl 0.875 0.654 0.239
8 Cl 0.366 0.736 0.735
9 Cl 0.736 0.163 0.735
10 Cl 0.163 0.366 0.735

=====

(8)
## CsBiTe2N (PBE-GGA)

Data for crystalline CsBiTe2N at its relaxed geometry.

Values from the calculation:
The final energy is -3.436 eV/atom. As for the formation energy (no corrections): 0.43 eV per atom. The space group is P4/mmm. The energy above the most stable polymorph in this dataset comes out at 0.000 eV/atom. For the total magnetization, the calculation gives 2.8 μB/f.u.

a b c (Å): 6.199 6.199 4.850
angles (deg): 90.00 90.00 90.00
Site moments in Bohr magnetons follow the coordinates.
Fractional coordinates of all 5 atoms:
1 Cs 0.500 0.500 0.500  0.01
2 Te 0.000 0.500 0.000  0.26
3 Te 0.500 0.000 0.000  0.26
4 Bi 0.000 0.000 0.000  -0.03
5 N 0.000 0.000 0.500  1.23

=====

(9)
## TbGaNi (PBE-GGA)

Data for crystalline TbGaNi at its relaxed geometry.

Values from the calculation:
The final energy is -5.115 eV/atom. The space group is Pnma. For the total magnetization, the calculation gives 0.0 μB/f.u. The formation energy is -635.2 meV/atom.

a b c (Å): 4.304 6.885 7.362
angles (deg): 90.00 90.00 90.00
Fractional coordinates of all 12 atoms:
1 Ni 0.250 0.789 0.098
2 Ni 0.750 0.211 0.902
3 Ni 0.250 0.289 0.402
4 Ni 0.750 0.711 0.598
5 Tb 0.750 0.478 0.194
6 Tb 0.250 0.022 0.694
7 Tb 0.750 0.978 0.306
8 Tb 0.250 0.522 0.806
9 Ga 0.250 0.171 0.076
10 Ga 0.750 0.329 0.576
11 Ga 0.250 0.671 0.424
12 Ga 0.750 0.829 0.924

=====

(10)
## ScAgRu2 (PBE-GGA)

Data for crystalline ScAgRu2 at its relaxed geometry.

Values from the calculation:
The final energy is -6.517 eV/atom. The space group is I-42d. The energy above the most stable polymorph in this dataset comes out at 0.390 eV/atom. For the total magnetization, the calculation gives 0.0 μB/f.u. The formation energy is 416.8 meV/atom.

a b c (Å): 3.926 3.926 9.846
angles (deg): 78.50 78.50 90.00
Fractional coordinates of all 8 atoms:
1 Sc 0.500 0.500 0.000
2 Sc 0.250 0.750 0.500
3 Ru 0.559 0.125 0.250
4 Ru 0.191 0.625 0.250
5 Ru 0.375 0.441 0.750
6 Ru 0.875 0.809 0.750
7 Ag 0.000 0.000 0.000
8 Ag 0.750 0.250 0.500

=====

(11)
## Y3ScS (PBE-GGA)

Data for crystalline Y3ScS at its relaxed geometry.

Values from the calculation:
The final energy is -6.594 eV/atom. As for the formation energy (no corrections): -0.62 eV per atom. The space group is Pm-3m. The energy above the most stable polymorph in this dataset comes out at 0.000 eV/atom. For the total magnetization, the calculation gives 0.0 μB/f.u.

a b c (Å): 5.257 5.257 5.257
angles (deg): 90.00 90.00 90.00
Fractional coordinates of all 5 atoms:
1 Y 0.000 0.500 0.000
2 Y 0.000 0.000 0.500
3 Y 0.500 0.000 0.000
4 Sc 0.500 0.500 0.500
5 S 0.000 0.000 0.000

=====

(12)
## Hg2AsSe (PBE-GGA)

Data for crystalline Hg2AsSe at its relaxed geometry.

Values from the calculation:
The final energy is -1.934 eV/atom. As for the formation energy (no corrections): 0.25 eV per atom. The space group is I4/mmm. For the total magnetization, the calculation gives 0.0 μB/f.u.

a b c (Å): 7.127 7.127 7.127
angles (deg): 147.53 147.53 46.58
Fractional coordinates of all 4 atoms:
1 As 0.750 0.250 0.500
2 Hg 0.000 0.000 0.000
3 Hg 0.500 0.500 0.000
4 Se 0.250 0.750 0.500

=====

(13)
## CdO (PBE-GGA)

Data for crystalline CdO at its relaxed geometry.

Values from the calculation:
The final energy is -3.860 eV/atom. As for the formation energy (no corrections): -0.92 eV per atom. The space group is I-43m. For the total magnetization, the calculation gives 0.0 μB/f.u.

a b c (Å): 6.988 6.988 6.988
angles (deg): 90.00 90.00 90.00
Fractional coordinates of all 16 atoms:
1 Cd 0.332 0.332 0.332
2 Cd 0.332 0.668 0.668
3 Cd 0.668 0.332 0.668
4 Cd 0.668 0.668 0.332
5 Cd 0.832 0.832 0.832
6 Cd 0.832 0.168 0.168
7 Cd 0.168 0.832 0.168
8 Cd 0.168 0.168 0.832
9 O 0.158 0.158 0.158
10 O 0.158 0.842 0.842
11 O 0.842 0.158 0.842
12 O 0.842 0.842 0.158
13 O 0.658 0.658 0.658
14 O 0.658 0.342 0.342
15 O 0.342 0.658 0.342
16 O 0.342 0.342 0.658

=====

(14)
## Ho3ErTm12 (PBE-GGA)

Data for crystalline Ho3ErTm12 at its relaxed geometry.

Values from the calculation:
The final energy is -4.472 eV/atom. The space group is P4/mmm. For the total magnetization, the calculation gives 0.0 μB/f.u. The formation energy is 25.4 meV/atom.

a b c (Å): 4.934 4.934 19.731
angles (deg): 90.00 90.00 90.00
Fractional coordinates of all 16 atoms:
1 Ho 0.000 0.000 0.250
2 Ho 0.000 0.000 0.500
3 Ho 0.000 0.000 0.750
4 Er 0.000 0.000 0.000
5 Tm 0.500 0.500 0.000
6 Tm 0.500 0.500 0.250
7 Tm 0.500 0.500 0.500
8 Tm 0.500 0.500 0.750
9 Tm 0.500 0.000 0.125
10 Tm 0.500 0.000 0.375
11 Tm 0.500 0.000 0.625
12 Tm 0.500 0.000 0.875
13 Tm 0.000 0.500 0.125
14 Tm 0.000 0.500 0.375
15 Tm 0.000 0.500 0.625
16 Tm 0.000 0.500 0.875

=====

(15)
## PmAlGaAg (PBE-GGA)

Data for crystalline PmAlGaAg at its relaxed geometry.

Values from the calculation:
The final energy is -3.913 eV/atom. The space group is F-43m. For the total magnetization, the calculation gives 0.0 μB/f.u. The formation energy is -320.5 meV/atom.

a b c (Å): 4.906 4.906 4.906
angles (deg): 60.00 60.00 60.00
Fractional coordinates of all 4 atoms:
1 Al 0.000 0.000 0.000
2 Ga 0.250 0.250 0.250
3 Ag 0.750 0.750 0.750
4 Pm 0.500 0.500 0.500

=====

(16)
## K4Dy3InO8 (PBE-GGA)

Data for crystalline K4Dy3InO8 at its relaxed geometry.

Values from the calculation:
The final energy is -6.235 eV/atom. As for the formation energy (no corrections): -2.45 eV per atom. The space group is R-3m. For the total magnetization, the calculation gives 0.0 μB/f.u.

a b c (Å): 6.904 7.422 6.905
angles (deg): 117.72 119.99 90.00
Fractional coordinates of all 16 atoms:
1 K 0.500 0.000 0.000
2 K 0.500 0.000 0.500
3 K 0.000 0.000 0.000
4 K 0.000 0.000 0.500
5 Dy 0.500 0.500 0.000
6 Dy 0.500 0.500 0.500
7 Dy 0.000 0.500 0.500
8 In 0.000 0.500 0.000
9 O 0.228 0.688 0.960
10 O 0.228 0.688 0.456
11 O 0.272 0.315 0.544
12 O 0.732 0.688 0.960
13 O 0.268 0.312 0.040
14 O 0.728 0.685 0.456
15 O 0.772 0.312 0.544
16 O 0.772 0.312 0.040

=====

(17)
## CaPm4NdSe8 (PBE-GGA)

Data for crystalline CaPm4NdSe8 at its relaxed geometry.

Values from the calculation:
The final energy is -5.634 eV/atom. As for the formation energy (no corrections): -1.80 eV per atom. The space group is R3m. For the total magnetization, the calculation gives 0.0 μB/f.u.

a b c (Å): 8.654 8.654 8.668
angles (deg): 60.05 60.05 60.00
Fractional coordinates of all 14 atoms:
1 Ca 0.375 0.375 0.876
2 Pm 0.625 0.625 0.125
3 Pm 0.002 0.494 0.502
4 Pm 0.494 0.002 0.502
5 Pm 0.002 0.002 0.502
6 Nd 0.002 0.002 0.994
7 Se 0.243 0.775 0.740
8 Se 0.775 0.243 0.740
9 Se 0.243 0.243 0.740
10 Se 0.241 0.241 0.276
11 Se 0.757 0.226 0.260
12 Se 0.226 0.757 0.260
13 Se 0.757 0.757 0.260
14 Se 0.758 0.758 0.726

=====

(18)
## POs4W (PBE-GGA)

Data for crystalline POs4W at its relaxed geometry.

Values from the calculation:
The final energy is -9.580 eV/atom. The space group is F-43m. For the total magnetization, the calculation gives 0.0 μB/f.u. The formation energy is 966.8 meV/atom.

a b c (Å): 5.130 5.130 5.130
angles (deg): 60.00 60.00 60.00
Fractional coordinates of all 6 atoms:
1 P 0.750 0.750 0.750
2 Os 0.875 0.375 0.375
3 Os 0.375 0.375 0.875
4 Os 0.375 0.875 0.375
5 Os 0.375 0.375 0.375
6 W 0.000 0.000 0.000